The following is a DFT calculation (PBE) of a relaxed HoInGaCu crystal.

D(E_F)	0.643	states/eV/f.u.
theoretical density	8.610	Mg/m³
energy of formation	-0.29	eV/atom
total moment	0.0	μB/f.u.
crystal system	cubic

a = 6.830 Å, b = 6.830 Å, c = 6.830 Å
α = 90.00°, β = 90.00°, γ = 90.00°
Space group F-43m (No. 216)
Unique sites:
Ho1 0.000 0.000 0.000 (multiplicity 4)
In1 0.000 0.000 0.500 (multiplicity 4)
Ga1 0.250 0.250 0.750 (multiplicity 4)
Cu1 0.250 0.250 0.250 (multiplicity 4)

The following is a DFT calculation (PBE) of a relaxed Sc3Ag crystal.

D(E_F)	5.937	states/eV/f.u.
theoretical density	4.587	Mg/m³
energy of formation	-0.03	eV/atom
total moment	0.0	μB/f.u.
energy above the lowest structure with this stoichiometry	0.097	eV/atom
crystal system	cubic

a = 5.601 Å, b = 5.601 Å, c = 5.601 Å
α = 90.00°, β = 90.00°, γ = 90.00°
Space group Pm-3n (No. 223)
Unique sites:
Sc1 0.000 0.250 0.500 (multiplicity 6)
Ag1 0.000 0.000 0.000 (multiplicity 2)

The following is a DFT calculation (PBE) of a relaxed FeNiP crystal.

D(E_F)	3.300	states/eV/f.u.
theoretical density	6.889	Mg/m³
energy of formation	-0.49	eV/atom
total moment	0.1	μB/f.u.
crystal system	cubic

a = 5.196 Å, b = 5.196 Å, c = 5.196 Å
α = 90.00°, β = 90.00°, γ = 90.00°
Space group F-43m (No. 216)
Unique sites:
Fe1 0.000 0.000 0.000 (multiplicity 4)
Ni1 0.000 0.000 0.500 (multiplicity 4)
P1 0.250 0.250 0.250 (multiplicity 4)

The following is a DFT calculation (PBE) of a relaxed Mg3CrP crystal.

D(E_F)	3.376	states/eV/f.u.
theoretical density	1.975	Mg/m³
energy of formation	1.01	eV/atom
total moment	4.7	μB/f.u.
energy above the lowest structure with this stoichiometry	0.668	eV/atom
crystal system	cubic

a = 5.080 Å, b = 5.080 Å, c = 5.080 Å
α = 90.00°, β = 90.00°, γ = 90.00°
Space group Pm-3m (No. 221)
Unique sites:
Mg1 0.000 0.000 0.500 (multiplicity 3)
Cr1 0.000 0.000 0.000 (multiplicity 1)
P1 0.500 0.500 0.500 (multiplicity 1)

The following is a DFT calculation (PBE) of a relaxed Ho6SbP3S2 crystal.

D(E_F)	3.780	states/eV/f.u.
theoretical density	7.598	Mg/m³
energy relative to the elements, uncorrected	-1.67	eV per atom
total moment	0.0	μB/f.u.
crystal system	monoclinic

a = 17.568 Å, b = 4.019 Å, c = 8.082 Å
α = 90.00°, β = 103.66°, γ = 90.00°
Space group C2/m (No. 12)
Unique sites:
Ho1 0.001 0.000 0.232 (multiplicity 4)
Ho2 0.165 0.500 0.089 (multiplicity 4)
Ho3 0.174 0.500 0.581 (multiplicity 4)
Sb1 0.000 0.500 0.500 (multiplicity 2)
P1 0.000 0.500 0.000 (multiplicity 2)
P2 0.166 0.000 0.331 (multiplicity 4)
S1 0.170 0.000 0.838 (multiplicity 4)

The following is a DFT calculation (PBE) of a relaxed TlCoTc2 crystal.

D(E_F)	6.661	states/eV/f.u.
theoretical density	11.369	Mg/m³
energy of formation	0.88	eV/atom
total moment	0.0	μB/f.u.
energy above the lowest structure with this stoichiometry	0.475	eV/atom
crystal system	tetragonal

a = 7.305 Å, b = 7.305 Å, c = 5.029 Å
α = 90.00°, β = 90.00°, γ = 90.00°
Space group I-42d (No. 122)
Unique sites:
Tl1 0.000 0.000 0.000 (multiplicity 4)
Co1 0.000 0.000 0.500 (multiplicity 4)
Tc1 0.189 0.750 0.625 (multiplicity 8)

The following is a DFT calculation (PBE) of a relaxed NaCa2ZnPd crystal.

D(E_F)	0.862	states/eV/f.u.
theoretical density	2.955	Mg/m³
energy of formation	-0.25	eV/atom
total moment	0.0	μB/f.u.
crystal system	tetragonal

a = 5.559 Å, b = 5.559 Å, c = 5.001 Å
α = 90.00°, β = 90.00°, γ = 90.00°
Space group P4/mmm (No. 123)
Unique sites:
Na1 0.000 0.000 0.000 (multiplicity 1)
Ca1 0.000 0.500 0.500 (multiplicity 2)
Zn1 0.500 0.500 0.000 (multiplicity 1)
Pd1 0.500 0.500 0.500 (multiplicity 1)

The following is a DFT calculation (PBE) of a relaxed CaCuTe2 crystal.

D(E_F)	2.432	states/eV/f.u.
theoretical density	5.349	Mg/m³
energy relative to the elements, uncorrected	-0.58	eV per atom
total moment	0.0	μB/f.u.
crystal system	tetragonal

a = 4.268 Å, b = 4.268 Å, c = 6.116 Å
α = 90.00°, β = 90.00°, γ = 90.00°
Space group P4mm (No. 99)
Unique sites:
Ca1 0.000 0.000 0.000 (multiplicity 1)
Cu1 0.500 0.500 0.477 (multiplicity 1)
Te1 0.000 0.000 0.504 (multiplicity 1)
Te2 0.500 0.500 0.032 (multiplicity 1)

The following is a DFT calculation (PBE) of a relaxed Cs2Pu2HfTe6 crystal.

D(E_F)	26.620	states/eV/f.u.
theoretical density	6.120	Mg/m³
energy relative to the elements, uncorrected	-1.03	eV per atom
total moment	10.0	μB/f.u.
crystal system	monoclinic

a = 7.652 Å, b = 13.180 Å, c = 9.521 Å
α = 90.00°, β = 106.35°, γ = 90.00°
Space group C2/m (No. 12)
Unique sites:
Cs1 0.000 0.171 0.000 (multiplicity 4)
Pu1 0.000 0.332 0.500 (multiplicity 4)
Hf1 0.000 0.000 0.500 (multiplicity 2)
Te1 0.224 0.156 0.687 (multiplicity 8)
Te2 0.250 0.000 0.316 (multiplicity 4)

The following is a DFT calculation (PBE) of a relaxed Li12H5Pd3 crystal.

D(E_F)	4.192	states/eV/f.u.
theoretical density	2.549	Mg/m³
final energy	-2.981	eV per atom
total moment	0.0	μB/f.u.
crystal system	cubic

a = 12.854 Å, b = 12.854 Å, c = 12.854 Å
α = 90.00°, β = 90.00°, γ = 90.00°
Space group Ia-3d (No. 230)
Unique sites:
Li1 0.034 0.050 0.649 (multiplicity 96)
H1 0.000 0.000 0.000 (multiplicity 16)
H2 0.000 0.250 0.375 (multiplicity 24)
Pd1 0.000 0.250 0.125 (multiplicity 24)

The following is a DFT calculation (PBE) of a relaxed Ba2MgSe crystal.

D(E_F)	1.465	states/eV/f.u.
theoretical density	3.930	Mg/m³
energy relative to the elements, uncorrected	-0.62	eV per atom
total moment	0.0	μB/f.u.
energy above the lowest structure with this stoichiometry	0.263	eV/atom
crystal system	tetragonal

a = 4.049 Å, b = 4.049 Å, c = 9.741 Å
α = 90.00°, β = 90.00°, γ = 90.00°
Space group P4mm (No. 99)
Unique sites:
Ba1 0.000 0.000 0.000 (multiplicity 1)
Ba2 0.500 0.500 0.403 (multiplicity 1)
Mg1 0.000 0.000 0.650 (multiplicity 1)
Se1 0.500 0.500 0.820 (multiplicity 1)